*i*
TcCSe2Br | PBE | relaxed

a = 4.3069 Å, b = 4.3069 Å, c = 4.4391 Å
α = 90.00°, β = 90.00°, γ = 90.00°
Last column: nearest neighbours and their distance in Å.
Positions (direct):
C: 0.0000 0.0000 0.0000  4 Se 2.15, 2 Br 2.22
Se: 0.0000 0.5000 0.0000  2 C 2.15
Se: 0.5000 0.0000 0.0000  2 C 2.15
Tc: 0.5000 0.5000 0.5000  4 Br 3.05, 8 Se 3.09
Br: 0.0000 0.0000 0.5000  2 C 2.22

Output
The space-group type is P4/mmm (123).

---

*ii*
TcCSe2Br | PBE | relaxed

a = 4.7549 Å, b = 4.7549 Å, c = 5.3998 Å
α = 90.00°, β = 90.00°, γ = 90.00°
Last column: nearest neighbours and their distance in Å.
Positions (direct):
C: 0.5000 0.5000 0.5000  4 Br 3.36, 8 Se 3.60
Se: 0.0000 0.5000 0.0000  2 Tc 2.38
Se: 0.5000 0.0000 0.0000  2 Tc 2.38
Tc: 0.0000 0.0000 0.0000  4 Se 2.38
Br: 0.0000 0.0000 0.5000  2 Tc 2.70

Output
The space-group type is P4/mmm (123).

---

The winner here is *i*, beating the second structure by 15 meV per atom.

---

*i*
TiCSe2Br | PBE | relaxed

a = 5.3519 Å, b = 5.3519 Å, c = 4.6546 Å
α = 90.00°, β = 90.00°, γ = 90.00°
Last column: nearest neighbours and their distance in Å.
Positions (direct):
C: 0.5000 0.5000 0.5000  8 Se 3.55, 4 Ti 3.78
Se: 0.0000 0.5000 0.0000  2 Br 2.68
Se: 0.5000 0.0000 0.0000  2 Br 2.68
Br: 0.0000 0.0000 0.0000  2 Ti 2.33
Ti: 0.0000 0.0000 0.5000  2 Br 2.33

Output
The space-group type is P4/mmm (123).

---

*ii*
TiCSe2Br | PBE | relaxed

a = 4.4010 Å, b = 4.4010 Å, c = 4.5586 Å
α = 90.00°, β = 90.00°, γ = 90.00°
Last column: nearest neighbours and their distance in Å.
Positions (direct):
C: 0.0000 0.0000 0.0000  4 Se 2.20, 2 Br 2.28
Se: 0.0000 0.5000 0.0000  2 C 2.20
Se: 0.5000 0.0000 0.0000  2 C 2.20
Br: 0.0000 0.0000 0.5000  2 C 2.28
Ti: 0.5000 0.5000 0.5000  4 Br 3.11, 8 Se 3.17

Output
The space-group type is P4/mmm (123).

---

The winner here is *ii*, beating the second structure by 1170 meV per atom.

---

*i*
Tl2CSeBr | PBE | relaxed

a = 6.2570 Å, b = 3.7898 Å, c = 6.2570 Å
α = 90.00°, β = 90.00°, γ = 90.00°
Last column: nearest neighbours and their distance in Å.
Positions (direct):
C: 0.0000 0.5000 0.0000  2 Se 1.89
Tl: 0.0000 0.0000 0.5000  2 Se 3.13
Tl: 0.5000 0.0000 0.0000  2 Se 3.13
Se: 0.0000 0.0000 0.0000  2 C 1.89
Br: 0.5000 0.5000 0.5000  8 Tl 3.66, 2 Br 3.79

Output
The space-group type is P4/mmm (123).

---

*ii*
Tl2CSeBr | PBE | relaxed

a = 6.2805 Å, b = 3.9518 Å, c = 6.2805 Å
α = 90.00°, β = 90.00°, γ = 90.00°
Last column: nearest neighbours and their distance in Å.
Positions (direct):
C: 0.0000 0.5000 0.0000  2 Br 1.98
Tl: 0.0000 0.0000 0.5000  2 Br 3.14
Tl: 0.5000 0.0000 0.0000  2 Br 3.14
Se: 0.5000 0.5000 0.5000  8 Tl 3.71, 2 Se 3.95
Br: 0.0000 0.0000 0.0000  2 C 1.98

Output
The space-group type is P4/mmm (123).

---

The winner here is *i*, beating the second structure by 564 meV per atom.

---

*i*
YCSeBr2 | PBE | relaxed

a = 5.4611 Å, b = 5.4611 Å, c = 5.7271 Å
α = 90.00°, β = 90.00°, γ = 90.00°
Last column: nearest neighbours and their distance in Å.
Positions (direct):
Y: 0.0000 0.0000 0.0000  4 Br 2.73, 2 Se 2.86
C: 0.5000 0.5000 0.5000  4 Se 3.86, 8 Br 3.96
Se: 0.0000 0.0000 0.5000  2 Y 2.86
Br: 0.0000 0.5000 0.0000  2 Y 2.73
Br: 0.5000 0.0000 0.0000  2 Y 2.73

Output
The space-group type is P4/mmm (123).

---

*ii*
YCSeBr2 | PBE | relaxed

a = 4.5961 Å, b = 4.5961 Å, c = 4.8434 Å
α = 90.00°, β = 90.00°, γ = 90.00°
Last column: nearest neighbours and their distance in Å.
Positions (direct):
Y: 0.5000 0.5000 0.5000  4 Se 3.25, 8 Br 3.34
C: 0.0000 0.0000 0.0000  4 Br 2.30, 2 Se 2.42
Se: 0.0000 0.0000 0.5000  2 C 2.42
Br: 0.0000 0.5000 0.0000  2 C 2.30
Br: 0.5000 0.0000 0.0000  2 C 2.30

Output
The space-group type is P4/mmm (123).

---

The winner here is *ii*, beating the second structure by 261 meV per atom.

---

*i*
ZnCSeBr2 | PBE | relaxed

a = 5.1035 Å, b = 5.1035 Å, c = 5.1385 Å
α = 90.00°, β = 90.00°, γ = 90.00°
Last column: nearest neighbours and their distance in Å.
Positions (direct):
C: 0.5000 0.5000 0.5000  4 Se 3.61, 8 Br 3.62
Zn: 0.0000 0.0000 0.0000  4 Br 2.55, 2 Se 2.57
Se: 0.0000 0.0000 0.5000  2 Zn 2.57
Br: 0.0000 0.5000 0.0000  2 Zn 2.55
Br: 0.5000 0.0000 0.0000  2 Zn 2.55

Output
The space-group type is P4/mmm (123).

---

*ii*
ZnCSeBr2 | PBE | relaxed

a = 4.7785 Å, b = 4.7785 Å, c = 4.4162 Å
α = 90.00°, β = 90.00°, γ = 90.00°
Last column: nearest neighbours and their distance in Å.
Positions (direct):
C: 0.0000 0.0000 0.0000  2 Se 2.21, 4 Br 2.39
Zn: 0.5000 0.5000 0.5000  8 Br 3.25, 4 Se 3.38
Se: 0.0000 0.0000 0.5000  2 C 2.21
Br: 0.0000 0.5000 0.0000  2 C 2.39
Br: 0.5000 0.0000 0.0000  2 C 2.39

Output
The space-group type is P4/mmm (123).

---

The winner here is *ii*, beating the second structure by 386 meV per atom.

---

*i*
ZrCSeBr2 | PBE | relaxed

a = 4.5200 Å, b = 4.5200 Å, c = 4.6853 Å
α = 90.00°, β = 90.00°, γ = 90.00°
Last column: nearest neighbours and their distance in Å.
Positions (direct):
C: 0.0000 0.0000 0.0000  4 Br 2.26, 2 Se 2.34
Se: 0.0000 0.0000 0.5000  2 C 2.34
Br: 0.0000 0.5000 0.0000  2 C 2.26
Br: 0.5000 0.0000 0.0000  2 C 2.26
Zr: 0.5000 0.5000 0.5000  4 Se 3.20, 8 Br 3.26

Output
The space-group type is P4/mmm (123).

---

*ii*
ZrCSeBr2 | PBE | relaxed

a = 5.3631 Å, b = 5.3631 Å, c = 5.1829 Å
α = 90.00°, β = 90.00°, γ = 90.00°
Last column: nearest neighbours and their distance in Å.
Positions (direct):
C: 0.5000 0.5000 0.5000  8 Br 3.73, 4 Se 3.79
Se: 0.0000 0.0000 0.5000  2 Zr 2.59
Br: 0.0000 0.5000 0.0000  2 Zr 2.68
Br: 0.5000 0.0000 0.0000  2 Zr 2.68
Zr: 0.0000 0.0000 0.0000  2 Se 2.59, 4 Br 2.68

Output
The space-group type is P4/mmm (123).

---

The winner here is *ii*, beating the second structure by 161 meV per atom.

---

*i*
ZrCSe2Br | PBE | relaxed

a = 5.2242 Å, b = 5.2242 Å, c = 5.3290 Å
α = 90.00°, β = 90.00°, γ = 90.00°
Last column: nearest neighbours and their distance in Å.
Positions (direct):
C: 0.5000 0.5000 0.5000  4 Br 3.69, 8 Se 3.73
Se: 0.0000 0.5000 0.0000  2 Zr 2.61
Se: 0.5000 0.0000 0.0000  2 Zr 2.61
Br: 0.0000 0.0000 0.5000  2 Zr 2.66
Zr: 0.0000 0.0000 0.0000  4 Se 2.61, 2 Br 2.66

Output
The space-group type is P4/mmm (123).

---

*ii*
ZrCSe2Br | PBE | relaxed

a = 4.4866 Å, b = 4.4866 Å, c = 4.4801 Å
α = 90.00°, β = 90.00°, γ = 90.00°
Last column: nearest neighbours and their distance in Å.
Positions (direct):
C: 0.0000 0.0000 0.0000  2 Br 2.24, 4 Se 2.24
Se: 0.0000 0.5000 0.0000  2 C 2.24
Se: 0.5000 0.0000 0.0000  2 C 2.24
Br: 0.0000 0.0000 0.5000  2 C 2.24
Zr: 0.5000 0.5000 0.5000  8 Se 3.17, 4 Br 3.17

Output
The space-group type is P4/mmm (123).

---

The winner here is *ii*, beating the second structure by 150 meV per atom.

---

*i*
SiCBr3 | PBE | relaxed

a = 4.7175 Å, b = 4.7175 Å, c = 4.7175 Å
α = 90.00°, β = 90.00°, γ = 90.00°
Last column: nearest neighbours and their distance in Å.
Positions (direct):
Si: 0.5000 0.5000 0.5000  12 Br 3.34
C: 0.0000 0.0000 0.0000  6 Br 2.36
Br: 0.0000 0.5000 0.0000  2 C 2.36
Br: 0.0000 0.0000 0.5000  2 C 2.36
Br: 0.5000 0.0000 0.0000  2 C 2.36

Output
The space-group type is Pm-3m (221).

---

*ii*
SiCBr3 | PBE | relaxed

a = 5.1167 Å, b = 5.1167 Å, c = 5.1167 Å
α = 90.00°, β = 90.00°, γ = 90.00°
Last column: nearest neighbours and their distance in Å.
Positions (direct):
Si: 0.0000 0.0000 0.0000  6 Br 2.56
C: 0.5000 0.5000 0.5000  12 Br 3.62
Br: 0.0000 0.5000 0.0000  2 Si 2.56
Br: 0.0000 0.0000 0.5000  2 Si 2.56
Br: 0.5000 0.0000 0.0000  2 Si 2.56

Output
The space-group type is Pm-3m (221).

---

The winner here is *i*, beating the second structure by 69 meV per atom.

---

*i*
Si2CBr | PBE | relaxed

a = 4.4103 Å, b = 4.4103 Å, c = 4.4103 Å
α = 60.00°, β = 60.00°, γ = 60.00°
Last column: nearest neighbours and their distance in Å.
Positions (direct):
Si: 0.2500 0.2500 0.2500  4 Br 2.70, 4 C 2.70
Si: 0.7500 0.7500 0.7500  4 Br 2.70, 4 C 2.70
C: 0.0000 0.0000 0.0000  8 Si 2.70
Br: 0.5000 0.5000 0.5000  8 Si 2.70

Output
The space-group type is Fm-3m (225).

---

*ii*
Si2CBr | PBE | relaxed

a = 4.8896 Å, b = 4.8896 Å, c = 6.8599 Å
α = 69.12°, β = 69.12°, γ = 90.00°
Last column: nearest neighbours and their distance in Å.
Positions (direct):
Si: 0.4450 0.1250 0.2500  2 C 1.95
Si: 0.3050 0.6250 0.2500  2 C 1.95
Si: 0.3750 0.5550 0.7500  2 C 1.95
Si: 0.8750 0.6950 0.7500  2 C 1.95
C: 0.5000 0.5000 0.0000  4 Si 1.95
C: 0.2500 0.7500 0.5000  4 Si 1.95
Br: 0.0000 0.0000 0.0000  4 Si 2.85
Br: 0.7500 0.2500 0.5000  4 Si 2.85

Output
The space-group type is I-42d (122).

---

The winner here is *ii*, beating the second structure by 1010 meV per atom.

---

*i*
Si3CBr | PBE | relaxed

a = 4.2973 Å, b = 4.2973 Å, c = 4.2973 Å
α = 90.00°, β = 90.00°, γ = 90.00°
Last column: nearest neighbours and their distance in Å.
Positions (direct):
Si: 0.0000 0.5000 0.0000  2 C 2.15
Si: 0.0000 0.0000 0.5000  2 C 2.15
Si: 0.5000 0.0000 0.0000  2 C 2.15
C: 0.0000 0.0000 0.0000  6 Si 2.15
Br: 0.5000 0.5000 0.5000  12 Si 3.04

Output
The space-group type is Pm-3m (221).

---

*ii*
Si3CBr | PBE | relaxed

a = 4.9742 Å, b = 4.9742 Å, c = 4.9742 Å
α = 90.00°, β = 90.00°, γ = 90.00°
Last column: nearest neighbours and their distance in Å.
Positions (direct):
Si: 0.0000 0.5000 0.0000  2 Br 2.49
Si: 0.0000 0.0000 0.5000  2 Br 2.49
Si: 0.5000 0.0000 0.0000  2 Br 2.49
C: 0.5000 0.5000 0.5000  12 Si 3.52
Br: 0.0000 0.0000 0.0000  6 Si 2.49

Output
The space-group type is Pm-3m (221).

---

The winner here is *i*, beating the second structure by 1410 meV per atom.

---

*i*
SnC3Br | PBE | relaxed

a = 4.4231 Å, b = 4.4231 Å, c = 4.4231 Å
α = 90.00°, β = 90.00°, γ = 90.00°
Last column: nearest neighbours and their distance in Å.
Positions (direct):
C: 0.0000 0.5000 0.0000  2 Sn 2.21
C: 0.0000 0.0000 0.5000  2 Sn 2.21
C: 0.5000 0.0000 0.0000  2 Sn 2.21
Sn: 0.0000 0.0000 0.0000  6 C 2.21
Br: 0.5000 0.5000 0.5000  12 C 3.13

Output
The space-group type is Pm-3m (221).

---

*ii*
SnC3Br | PBE | relaxed

a = 4.1419 Å, b = 4.1419 Å, c = 4.1419 Å
α = 90.00°, β = 90.00°, γ = 90.00°
Last column: nearest neighbours and their distance in Å.
Positions (direct):
C: 0.0000 0.5000 0.0000  2 Br 2.07
C: 0.0000 0.0000 0.5000  2 Br 2.07
C: 0.5000 0.0000 0.0000  2 Br 2.07
Sn: 0.5000 0.5000 0.5000  12 C 2.93
Br: 0.0000 0.0000 0.0000  6 C 2.07

Output
The space-group type is Pm-3m (221).

---

The winner here is *i*, beating the second structure by 192 meV per atom.

---

*i*
Sn3CBr | PBE | relaxed

a = 5.5935 Å, b = 5.5935 Å, c = 5.5935 Å
α = 90.00°, β = 90.00°, γ = 90.00°
Last column: nearest neighbours and their distance in Å.
Positions (direct):
C: 0.5000 0.5000 0.5000  12 Sn 3.96
Sn: 0.0000 0.5000 0.0000  2 Br 2.80
Sn: 0.0000 0.0000 0.5000  2 Br 2.80
Sn: 0.5000 0.0000 0.0000  2 Br 2.80
Br: 0.0000 0.0000 0.0000  6 Sn 2.80

Output
The space-group type is Pm-3m (221).

---

*ii*
Sn3CBr | PBE | relaxed

a = 5.0143 Å, b = 5.0143 Å, c = 5.0143 Å
α = 90.00°, β = 90.00°, γ = 90.00°
Last column: nearest neighbours and their distance in Å.
Positions (direct):
C: 0.0000 0.0000 0.0000  6 Sn 2.51
Sn: 0.0000 0.5000 0.0000  2 C 2.51
Sn: 0.0000 0.0000 0.5000  2 C 2.51
Sn: 0.5000 0.0000 0.0000  2 C 2.51
Br: 0.5000 0.5000 0.5000  12 Sn 3.55

Output
The space-group type is Pm-3m (221).

---

The winner here is *ii*, beating the second structure by 1087 meV per atom.